Entry 1:
# Pr8SmSc2

Crystalline Pr8SmSc2 at its relaxed geometry (PBE, Alexandria).

Energy of formation from the pure elements in eV/atom: 0.154
Fermi-level density of states in states/eV/cell: 15.10
E above lowest polymorph in eV per formula unit: 0.37

Cell: 5.9727 9.1155 9.3463 Å, 60.81 75.06 58.08°
Fractional coordinates of all 11 atoms:
Pr1 0.8293 0.0965 0.2401
Pr2 0.8293 0.3366 0.7599
Pr3 0.2945 0.4189 0.0000
Pr4 0.5000 0.7916 0.4169
Pr5 0.5000 0.2084 0.5831
Pr6 0.7055 0.5811 0.0000
Pr7 0.1707 0.6634 0.2401
Pr8 0.1707 0.9035 0.7599
Sm1 0.5000 0.0000 0.0000
Sc1 0.0000 0.3097 0.3807
Sc2 0.0000 0.6903 0.6193


Entry 2:
# KCu2RuF8

Crystalline KCu2RuF8 at its relaxed geometry (PBE, Alexandria).

Fermi-level density of states in states/eV/cell: 6.89
Formation energy without anion corrections in eV/atom: -1.663

Cell: 5.5166 5.5166 9.0083 Å, 72.17 72.17 60.00°
Fractional coordinates of all 12 atoms:
K1 0.0000 0.0000 0.0000
Cu1 0.7418 0.7418 0.7745
Cu2 0.2582 0.2582 0.2255
Ru1 0.5000 0.5000 0.5000
F1 0.6692 0.6692 0.9925
F2 0.3308 0.3308 0.0075
F3 0.4121 0.3583 0.3591
F4 0.6417 0.5879 0.6409
F5 0.1295 0.6417 0.6409
F6 0.3583 0.8705 0.3591
F7 0.8705 0.4121 0.3591
F8 0.5879 0.1295 0.6409


Entry 3:
# Al2FeMo

Crystalline Al2FeMo at its relaxed geometry (PBE, Alexandria).

Energy of formation from the pure elements in eV/atom: -0.172
Fermi-level density of states in states/eV/cell: 2.98
E above lowest polymorph in eV per formula unit: 0.22

Cell: 3.7589 3.8821 3.8821 Å, 90.00 90.00 90.00°
Fractional coordinates of all 4 atoms:
Mo1 0.5000 0.0000 0.5000
Fe1 0.5000 0.5000 0.0000
Al1 0.0000 0.0000 0.0000
Al2 0.0000 0.5000 0.5000


Entry 4:
# Sc3GaIr

Crystalline Sc3GaIr at its relaxed geometry (PBE, Alexandria).

Energy of formation from the pure elements in eV/atom: 0.415
Fermi-level density of states in states/eV/cell: 16.99
E above lowest polymorph in eV per formula unit: 5.16

Cell: 4.9081 4.9081 4.9081 Å, 90.00 90.00 90.00°
Fractional coordinates of all 5 atoms:
Sc1 0.0000 0.5000 0.0000
Sc2 0.0000 0.0000 0.5000
Sc3 0.5000 0.0000 0.0000
Ir1 0.5000 0.5000 0.5000
Ga1 0.0000 0.0000 0.0000


Entry 5:
# Ca2SbPb

Crystalline Ca2SbPb at its relaxed geometry (PBE, Alexandria).

Fermi-level density of states in states/eV/cell: 1.92
Formation energy without anion corrections in eV/atom: -0.619
E above lowest polymorph in eV per formula unit: 0.27

Cell: 5.8395 3.4737 5.8369 Å, 90.00 90.00 90.00°
Fractional coordinates of all 4 atoms:
Pb1 0.0000 0.6253 0.3750
Sb1 0.5000 0.6246 0.8750
Ca1 0.0000 0.1247 0.8749
Ca2 0.5000 0.1254 0.3750


Entry 6:
# Ac3NdCd

Crystalline Ac3NdCd at its relaxed geometry (PBE, Alexandria).

Energy of formation from the pure elements in eV/atom: 0.042
Fermi-level density of states in states/eV/cell: 13.95
E above lowest polymorph in eV per formula unit: 0.27

Cell: 3.9665 10.3371 12.2932 Å, 90.00 90.00 125.44°
Fractional coordinates of all 10 atoms:
Ac1 0.0883 0.7230 0.4835
Ac2 0.9117 0.2770 0.5165
Ac3 0.0883 0.7230 0.0165
Ac4 0.9117 0.2770 0.9835
Ac5 0.3978 0.6001 0.7500
Ac6 0.6022 0.3999 0.2500
Nd1 0.4464 0.9694 0.7500
Nd2 0.5536 0.0306 0.2500
Cd1 0.4023 0.2712 0.7500
Cd2 0.5977 0.7288 0.2500


Entry 7:
# LaCd2In

Crystalline LaCd2In at its relaxed geometry (PBE, Alexandria).

Energy of formation from the pure elements in eV/atom: -0.381
Fermi-level density of states in states/eV/cell: 3.07

Cell: 5.0287 6.2685 7.3086 Å, 90.00 90.00 113.65°
Fractional coordinates of all 8 atoms:
La1 0.7664 0.5327 0.5000
La2 0.5693 0.1386 0.0000
Cd1 0.0424 0.0847 0.6976
Cd2 0.0424 0.0847 0.3024
Cd3 0.8666 0.7331 0.0000
Cd4 0.4718 0.9437 0.5000
In1 0.2850 0.5699 0.7974
In2 0.2850 0.5699 0.2026


Entry 8:
# Cs3K2F

Crystalline Cs3K2F at its relaxed geometry (PBE, Alexandria).

Fermi-level density of states in states/eV/cell: 8.43
Formation energy without anion corrections in eV/atom: -0.841

Cell: 12.7784 12.7784 9.9077 Å, 90.00 90.00 146.63°
Fractional coordinates of all 12 atoms:
Cs1 0.6110 0.3890 0.4887
Cs2 0.3890 0.6110 0.5113
Cs3 0.6110 0.3890 0.0113
Cs4 0.3890 0.6110 0.9887
Cs5 0.1785 0.8215 0.2500
Cs6 0.8215 0.1785 0.7500
K1 0.7752 0.2248 0.2500
K2 0.2248 0.7752 0.7500
K3 0.9746 0.0254 0.2500
K4 0.0254 0.9746 0.7500
F1 0.6715 0.3285 0.2500
F2 0.3285 0.6715 0.7500


Entry 9:
# Tb6RuSe5

Crystalline Tb6RuSe5 at its relaxed geometry (PBE, Alexandria).

Fermi-level density of states in states/eV/cell: 9.15
Formation energy without anion corrections in eV/atom: -1.543

Cell: 7.1286 7.1752 7.1693 Å, 59.97 80.40 70.53°
Fractional coordinates of all 12 atoms:
Ru1 0.0000 0.0000 0.0000
Tb1 0.7657 0.0773 0.3115
Tb2 0.2343 0.6112 0.3115
Tb3 0.2372 0.2301 0.0000
Tb4 0.7628 0.7699 0.0000
Tb5 0.7657 0.3888 0.6885
Tb6 0.2343 0.9227 0.6885
Se1 0.5000 0.1756 0.6487
Se2 0.0000 0.3349 0.3303
Se3 0.5000 0.5000 0.0000
Se4 0.0000 0.6651 0.6697
Se5 0.5000 0.8244 0.3513


Entry 10:
# PmHoMgCd

Crystalline PmHoMgCd at its relaxed geometry (PBE, Alexandria).

Energy of formation from the pure elements in eV/atom: -0.201
Fermi-level density of states in states/eV/cell: 4.68

Cell: 5.3693 5.3693 5.3693 Å, 60.00 60.00 60.00°
Fractional coordinates of all 4 atoms:
Mg1 0.2500 0.2500 0.2500
Cd1 0.7500 0.7500 0.7500
Ho1 0.0000 0.0000 0.0000
Pm1 0.5000 0.5000 0.5000


Entry 11:
# NaV3Ir

Crystalline NaV3Ir at its relaxed geometry (PBE, Alexandria).

Energy of formation from the pure elements in eV/atom: 2.135
Fermi-level density of states in states/eV/cell: 7.65
E above lowest polymorph in eV per formula unit: 6.23

Cell: 4.3032 4.3032 4.3032 Å, 90.00 90.00 90.00°
Fractional coordinates of all 5 atoms:
Na1 0.0000 0.0000 0.0000
Ir1 0.5000 0.5000 0.5000
V1 0.0000 0.5000 0.0000
V2 0.0000 0.0000 0.5000
V3 0.5000 0.0000 0.0000


Entry 12:
# KHg2Cl

Crystalline KHg2Cl at its relaxed geometry (PBE, Alexandria).

Fermi-level density of states in states/eV/cell: 0.00
Formation energy without anion corrections in eV/atom: -0.739
E above lowest polymorph in eV per formula unit: 0.55

Cell: 9.7137 9.7137 7.5323 Å, 49.85 49.85 90.00°
Fractional coordinates of all 8 atoms:
K1 0.0000 0.0000 0.0000
K2 0.7500 0.2500 0.5000
Hg1 0.6053 0.1250 0.2500
Hg2 0.1447 0.6250 0.2500
Hg3 0.3750 0.3947 0.7500
Hg4 0.8750 0.8553 0.7500
Cl1 0.5000 0.5000 0.0000
Cl2 0.2500 0.7500 0.5000


- Which value of Fermi-level density of states does entry 3 give?
  2.98 states/eV/cell